Entry 1:
Computed, not measured: a relaxed structure of Sm3Hg2BRu3 at the PBE level of DFT.

Properties
V, Å³/atom: 20.3
D(E_F), states/eV per cell: 9.59
Total DFT energy (no corrections), eV per cell: -51.38

abc: 3.5210 7.7333 7.7333
angles: 120.00 90.00 90.00
Element x y z (fractional)
Hg (0.5000, 0.3333, 0.6667)
Hg (0.5000, 0.6667, 0.3333)
Sm (0.0000, 0.0000, 0.3440)
Sm (0.0000, 0.6560, 0.6560)
Ru (0.5000, 0.7925, 0.0000)
Sm (0.0000, 0.3440, 0.0000)
B (0.0000, 0.0000, 0.0000)
Ru (0.5000, 0.2075, 0.2075)
Ru (0.5000, 0.0000, 0.7925)

---

Entry 2:
Computed, not measured: a relaxed structure of Tb3Hg2BRu3 at the PBE level of DFT.

Properties
V, Å³/atom: 19.4
D(E_F), states/eV per cell: 9.28
Total DFT energy (no corrections), eV per cell: -51.76

abc: 3.4638 7.6290 7.6290
angles: 120.00 90.00 90.00
Element x y z (fractional)
Hg (0.5000, 0.3333, 0.6667)
Tb (0.0000, 0.3442, 0.0000)
Tb (0.0000, 0.0000, 0.3442)
Ru (0.5000, 0.0000, 0.7879)
Hg (0.5000, 0.6667, 0.3333)
B (0.0000, 0.0000, 0.0000)
Tb (0.0000, 0.6558, 0.6558)
Ru (0.5000, 0.2121, 0.2121)
Ru (0.5000, 0.7879, 0.0000)

---

Entry 3:
Computed, not measured: a relaxed structure of Y2HgBRu at the PBE level of DFT.

Properties
V, Å³/atom: 21.0
D(E_F), states/eV per cell: 3.40
Total DFT energy (no corrections), eV per cell: -31.10

abc: 5.1374 5.1374 3.9761
angles: 90.00 90.00 90.00
Element x y z (fractional)
Ru (0.0000, 0.0000, 0.5000)
Hg (0.5000, 0.5000, 0.5000)
Y (0.0000, 0.5000, 0.0000)
Y (0.5000, 0.0000, 0.0000)
B (0.0000, 0.0000, 0.0000)

---

Entry 4:
Computed, not measured: a relaxed structure of HgBS2 at the PBE level of DFT.

Properties
Energy relative to the lowest polymorph listed for this composition, eV/atom: 0.224
V, Å³/atom: 17.9
D(E_F), states/eV per cell: 5.81
Energy relative to the elements, uncorrected, eV/atom: 0.031

abc: 6.0502 6.0502 5.8026
angles: 58.58 58.58 90.00
Element x y z (fractional)
Hg (0.7500, 0.2500, 0.5000)
Hg (0.0000, 0.0000, 0.0000)
B (0.5000, 0.5000, 0.0000)
S (0.8750, 0.7559, 0.7500)
S (0.3750, 0.4941, 0.7500)
S (0.5059, 0.1250, 0.2500)
S (0.2441, 0.6250, 0.2500)
B (0.2500, 0.7500, 0.5000)

---

Entry 5:
Computed, not measured: a relaxed structure of HgBS3 at the PBE level of DFT.

Properties
Energy relative to the lowest polymorph listed for this composition, eV/atom: 0.000
V, Å³/atom: 25.5
Energy relative to the elements, uncorrected, eV/atom: -0.201

abc: 5.9489 6.9288 13.5787
angles: 90.00 90.00 114.27
Element x y z (fractional)
S (0.1786, 0.1583, 0.6410)
S (0.5259, 0.5250, 0.7766)
Hg (0.7555, 0.4984, 0.9975)
S (0.0222, 0.1624, 0.8615)
B (0.1928, 0.3518, 0.7507)
S (0.5222, 0.1624, 0.6385)
S (0.9778, 0.8376, 0.1385)
Hg (0.2445, 0.5016, 0.0025)
S (0.9741, 0.4750, 0.2766)
S (0.3214, 0.8417, 0.1410)
S (0.8214, 0.8417, 0.3590)
S (0.4741, 0.4750, 0.2234)
B (0.3072, 0.6482, 0.2507)
Hg (0.2555, 0.4984, 0.5025)
B (0.8072, 0.6482, 0.2493)
B (0.6928, 0.3518, 0.7493)
Hg (0.7445, 0.5016, 0.4975)
S (0.6786, 0.1583, 0.8590)
S (0.4778, 0.8376, 0.3615)
S (0.0259, 0.5250, 0.7234)

---

Entry 6:
Computed, not measured: a relaxed structure of HgB3S at the PBE level of DFT.

Properties
Energy relative to the lowest polymorph listed for this composition, eV/atom: 0.559
V, Å³/atom: 16.8
D(E_F), states/eV per cell: 1.72
Energy relative to the elements, uncorrected, eV/atom: 2.266

abc: 4.3830 4.3830 4.3830
angles: 90.00 90.00 90.00
Element x y z (fractional)
Hg (0.0000, 0.0000, 0.0000)
B (0.5000, 0.0000, 0.0000)
S (0.5000, 0.5000, 0.5000)
B (0.0000, 0.5000, 0.0000)
B (0.0000, 0.0000, 0.5000)

---

Entry 7:
Computed, not measured: a relaxed structure of HgBS2 at the PBE level of DFT.

Properties
Energy relative to the lowest polymorph listed for this composition, eV/atom: 0.000
V, Å³/atom: 21.8
D(E_F), states/eV per cell: 2.23
Energy relative to the elements, uncorrected, eV/atom: -0.193

abc: 5.0786 6.1561 6.1561
angles: 86.34 107.70 107.70
Element x y z (fractional)
Hg (0.2500, 0.4122, 0.0878)
S (0.9114, 0.9998, 0.2530)
S (0.0886, 0.0001, 0.7470)
S (0.5886, 0.2470, 0.5002)
S (0.4114, 0.7530, 0.4998)
Hg (0.7500, 0.5878, 0.9122)
B (0.7500, 0.0024, 0.4976)
B (0.2500, 0.9976, 0.5024)

---

Entry 8:
Computed, not measured: a relaxed structure of HgBS3 at the PBE level of DFT.

Properties
Energy relative to the lowest polymorph listed for this composition, eV/atom: 0.261
V, Å³/atom: 23.9
D(E_F), states/eV per cell: 0.97
Energy relative to the elements, uncorrected, eV/atom: 0.061

abc: 3.0990 5.3815 7.3057
angles: 101.40 89.55 90.66
Element x y z (fractional)
Hg (0.8649, 0.1669, 0.6813)
S (0.8631, 0.6616, 0.4128)
S (0.3553, 0.7614, 0.0389)
B (0.8531, 0.7983, 0.2030)
S (0.6236, 0.1121, 0.1740)

---

Entry 9:
Computed, not measured: a relaxed structure of HgB3S at the PBE level of DFT.

Properties
Energy relative to the lowest polymorph listed for this composition, eV/atom: 0.000
V, Å³/atom: 12.3
D(E_F), states/eV per cell: 2.27
Energy relative to the elements, uncorrected, eV/atom: 1.707

abc: 3.9460 3.9460 3.9460
angles: 90.00 90.00 90.00
Element x y z (fractional)
S (0.0000, 0.0000, 0.0000)
Hg (0.5000, 0.5000, 0.5000)
B (0.0000, 0.0000, 0.5000)
B (0.0000, 0.5000, 0.0000)
B (0.5000, 0.0000, 0.0000)

---

Entry 10:
Computed, not measured: a relaxed structure of Hg2BS at the PBE level of DFT.

Properties
Energy relative to the lowest polymorph listed for this composition, eV/atom: 0.000
V, Å³/atom: 21.9
D(E_F), states/eV per cell: 2.58
Energy relative to the elements, uncorrected, eV/atom: 0.691

abc: 6.0468 6.0468 6.4237
angles: 61.92 61.92 90.00
Element x y z (fractional)
Hg (0.8750, 0.8230, 0.7500)
Hg (0.1770, 0.6250, 0.2500)
B (0.5000, 0.5000, 0.0000)
S (0.0000, 0.0000, 0.0000)
Hg (0.5730, 0.1250, 0.2500)
B (0.2500, 0.7500, 0.5000)
Hg (0.3750, 0.4270, 0.7500)
S (0.7500, 0.2500, 0.5000)

---

Entry 11:
Computed, not measured: a relaxed structure of HgBS2 at the PBE level of DFT.

Properties
Energy relative to the lowest polymorph listed for this composition, eV/atom: 1.541
V, Å³/atom: 17.4
D(E_F), states/eV per cell: 3.71
Energy relative to the elements, uncorrected, eV/atom: 1.348

abc: 4.6130 4.6130 4.6130
angles: 60.00 60.00 60.00
Element x y z (fractional)
S (0.7500, 0.7500, 0.7500)
B (0.0000, 0.0000, 0.0000)
Hg (0.5000, 0.5000, 0.5000)
S (0.2500, 0.2500, 0.2500)

---

Entry 12:
Computed, not measured: a relaxed structure of HgBS3 at the PBE level of DFT.

Properties
Energy relative to the lowest polymorph listed for this composition, eV/atom: 1.948
V, Å³/atom: 25.0
D(E_F), states/eV per cell: 4.51
Energy relative to the elements, uncorrected, eV/atom: 1.748

abc: 5.0013 5.0013 5.0013
angles: 90.00 90.00 90.00
Element x y z (fractional)
B (0.5000, 0.5000, 0.5000)
S (0.0000, 0.5000, 0.0000)
S (0.0000, 0.0000, 0.5000)
Hg (0.0000, 0.0000, 0.0000)
S (0.5000, 0.0000, 0.0000)

---

Entry 13:
Computed, not measured: a relaxed structure of HgBS4 at the PBE level of DFT.

Properties
V, Å³/atom: 28.8
D(E_F), states/eV per cell: 3.58
Energy relative to the elements, uncorrected, eV/atom: 0.050

abc: 8.8455 8.8455 8.8455
angles: 134.62 134.62 66.13
Element x y z (fractional)
S (0.8058, 0.5611, 0.7553)
Hg (0.5000, 0.5000, 0.0000)
S (0.8005, 0.0558, 0.7447)
B (0.0000, 0.0000, 0.0000)
S (0.9442, 0.1995, 0.2553)
S (0.3111, 0.0558, 0.2553)
S (0.8058, 0.0505, 0.2447)
B (0.7500, 0.2500, 0.5000)
Hg (0.2500, 0.7500, 0.5000)
S (0.9495, 0.1942, 0.7553)
S (0.9442, 0.6889, 0.7447)
S (0.4389, 0.1942, 0.2447)

---

Entry 14:
Computed, not measured: a relaxed structure of HgBS2 at the PBE level of DFT.

Properties
Energy relative to the lowest polymorph listed for this composition, eV/atom: 0.208
V, Å³/atom: 28.9
D(E_F), states/eV per cell: 1.53
Energy relative to the elements, uncorrected, eV/atom: 0.015

abc: 6.6345 6.6345 6.6345
angles: 41.45 41.45 41.45
Element x y z (fractional)
S (0.9075, 0.9075, 0.9075)
Hg (0.5000, 0.5000, 0.5000)
B (0.0000, 0.0000, 0.0000)
S (0.0925, 0.0925, 0.0925)

---

Entry 15:
Computed, not measured: a relaxed structure of Hg3BS4 at the PBE level of DFT.

Properties
V, Å³/atom: 22.9
D(E_F), states/eV per cell: 3.65
Energy relative to the elements, uncorrected, eV/atom: -0.089

abc: 6.5301 6.6840 8.3795
angles: 90.00 90.00 90.00
Element x y z (fractional)
Hg (0.9875, 0.7126, 0.7575)
S (0.1043, 0.9240, 0.0000)
Hg (0.4875, 0.2874, 0.7425)
B (0.5001, 0.8039, 0.5000)
Hg (0.0333, 0.1878, 0.5000)
B (0.0001, 0.1961, 0.0000)
S (0.1001, 0.3288, 0.1890)
S (0.2024, 0.7886, 0.5000)
S (0.7024, 0.2114, 0.0000)
Hg (0.9875, 0.7126, 0.2425)
Hg (0.4875, 0.2874, 0.2575)
Hg (0.5333, 0.8122, 0.0000)
S (0.6001, 0.6712, 0.6890)
S (0.6001, 0.6712, 0.3110)
S (0.6043, 0.0760, 0.5000)
S (0.1001, 0.3288, 0.8110)

---

Entry 16:
Computed, not measured: a relaxed structure of HgBS3 at the PBE level of DFT.

Properties
Energy relative to the lowest polymorph listed for this composition, eV/atom: 0.957
V, Å³/atom: 16.0
D(E_F), states/eV per cell: 3.17
Energy relative to the elements, uncorrected, eV/atom: 0.757

abc: 4.3094 4.3094 4.3094
angles: 90.00 90.00 90.00
Element x y z (fractional)
Hg (0.5000, 0.5000, 0.5000)
S (0.5000, 0.0000, 0.0000)
B (0.0000, 0.0000, 0.0000)
S (0.0000, 0.5000, 0.0000)
S (0.0000, 0.0000, 0.5000)

---

Entry 17:
Computed, not measured: a relaxed structure of Hg2BS4 at the PBE level of DFT.

Properties
V, Å³/atom: 26.7
D(E_F), states/eV per cell: 5.06
Energy relative to the elements, uncorrected, eV/atom: -0.025

abc: 4.4966 6.4449 6.4449
angles: 90.00 90.00 90.00
Element x y z (fractional)
B (0.0000, 0.0000, 0.0000)
Hg (0.0000, 0.5000, 0.0000)
Hg (0.0000, 0.0000, 0.5000)
S (0.7659, 0.1787, 0.1787)
S (0.7659, 0.8213, 0.8213)
S (0.2341, 0.1787, 0.8213)
S (0.2341, 0.8213, 0.1787)

---

Entry 18:
Computed, not measured: a relaxed structure of HgB4S7 at the PBE level of DFT.

Properties
V, Å³/atom: 16.9
Energy relative to the elements, uncorrected, eV/atom: -0.272

abc: 5.3534 5.6250 13.4556
angles: 90.00 90.00 90.00
Element x y z (fractional)
B (0.6033, 0.1657, 0.7479)
S (0.9728, 0.2306, 0.5000)
S (0.5165, 0.3386, 0.1348)
B (0.6200, 0.6652, 0.1248)
B (0.1200, 0.3348, 0.6248)
B (0.1033, 0.8343, 0.2479)
S (0.9712, 0.7320, 0.1236)
B (0.1200, 0.3348, 0.3752)
S (0.0165, 0.6614, 0.3652)
S (0.5165, 0.3386, 0.8652)
S (0.4764, 0.8403, 0.2364)
S (0.4764, 0.8403, 0.7636)
S (0.4728, 0.7694, 0.0000)
B (0.6200, 0.6652, 0.8752)
S (0.9764, 0.1597, 0.2636)
S (0.9712, 0.7320, 0.8764)
S (0.4712, 0.2680, 0.6236)
S (0.9764, 0.1597, 0.7364)
Hg (0.8070, 0.1227, 0.0000)
Hg (0.3070, 0.8773, 0.5000)
S (0.4712, 0.2680, 0.3764)
B (0.6033, 0.1657, 0.2521)
B (0.1033, 0.8343, 0.7521)
S (0.0165, 0.6614, 0.6348)

---

Entry 19:
Computed, not measured: a relaxed structure of HgBS2 at the PBE level of DFT.

Properties
Energy relative to the lowest polymorph listed for this composition, eV/atom: 0.482
V, Å³/atom: 17.4
D(E_F), states/eV per cell: 2.00
Energy relative to the elements, uncorrected, eV/atom: 0.289

abc: 9.1468 9.1468 9.1468
angles: 18.82 18.82 18.82
Element x y z (fractional)
B (0.5000, 0.5000, 0.5000)
S (0.8790, 0.8790, 0.8790)
Hg (0.0000, 0.0000, 0.0000)
S (0.1210, 0.1210, 0.1210)

---

Entry 20:
Computed, not measured: a relaxed structure of Hg2BS at the PBE level of DFT.

Properties
Energy relative to the lowest polymorph listed for this composition, eV/atom: 0.535
V, Å³/atom: 19.6
D(E_F), states/eV per cell: 3.63
Energy relative to the elements, uncorrected, eV/atom: 1.226

abc: 4.8044 4.8044 4.8044
angles: 60.00 60.00 60.00
Element x y z (fractional)
B (0.0000, 0.0000, 0.0000)
Hg (0.7500, 0.7500, 0.7500)
S (0.5000, 0.5000, 0.5000)
Hg (0.2500, 0.2500, 0.2500)

---

Entry 21:
Computed, not measured: a relaxed structure of Ti2HgBS at the PBE level of DFT.

Properties
V, Å³/atom: 16.9
D(E_F), states/eV per cell: 4.33
Energy relative to the elements, uncorrected, eV/atom: 0.144

abc: 4.4779 4.2078 4.4779
angles: 90.00 90.00 90.00
Element x y z (fractional)
Ti (0.0000, 0.0000, 0.5000)
Ti (0.5000, 0.0000, 0.0000)
Hg (0.0000, 0.5000, 0.0000)
B (0.0000, 0.0000, 0.0000)
S (0.5000, 0.5000, 0.5000)

---

Entry 22:
Computed, not measured: a relaxed structure of ZnHgBS2 at the PBE level of DFT.

Properties
V, Å³/atom: 22.6
D(E_F), states/eV per cell: 2.66
Energy relative to the elements, uncorrected, eV/atom: 1.199

abc: 5.2343 5.2343 4.1194
angles: 90.00 90.00 90.00
Element x y z (fractional)
S (0.0000, 0.5000, 0.0000)
B (0.0000, 0.0000, 0.5000)
Zn (0.5000, 0.5000, 0.5000)
Hg (0.0000, 0.0000, 0.0000)
S (0.5000, 0.0000, 0.0000)

---

Entry 23:
Computed, not measured: a relaxed structure of HgB2Sb at the PBE level of DFT.

Properties
Energy relative to the lowest polymorph listed for this composition, eV/atom: 0.000
V, Å³/atom: 18.5
D(E_F), states/eV per cell: 4.02
Energy relative to the elements, uncorrected, eV/atom: 0.995

abc: 5.3646 5.3646 6.3979
angles: 65.21 65.21 90.00
Element x y z (fractional)
B (0.6173, 0.1250, 0.2500)
Hg (0.7500, 0.2500, 0.5000)
B (0.3750, 0.3827, 0.7500)
Sb (0.5000, 0.5000, 0.0000)
Sb (0.2500, 0.7500, 0.5000)
Hg (0.0000, 0.0000, 0.0000)
B (0.1327, 0.6250, 0.2500)
B (0.8750, 0.8673, 0.7500)

---

Entry 24:
Computed, not measured: a relaxed structure of HgBSb2 at the PBE level of DFT.

Properties
Energy relative to the lowest polymorph listed for this composition, eV/atom: 0.000
V, Å³/atom: 25.4
D(E_F), states/eV per cell: 2.52
Energy relative to the elements, uncorrected, eV/atom: 0.378

abc: 6.0592 6.0592 7.0071
angles: 64.38 64.38 90.00
Element x y z (fractional)
Sb (0.1961, 0.6250, 0.2500)
Sb (0.8750, 0.8039, 0.7500)
Sb (0.3750, 0.4461, 0.7500)
Hg (0.0000, 0.0000, 0.0000)
Hg (0.7500, 0.2500, 0.5000)
Sb (0.5539, 0.1250, 0.2500)
B (0.2500, 0.7500, 0.5000)
B (0.5000, 0.5000, 0.0000)

---

Entry 25:
Computed, not measured: a relaxed structure of HgBSb2 at the PBE level of DFT.

Properties
Energy relative to the lowest polymorph listed for this composition, eV/atom: 0.689
V, Å³/atom: 22.1
D(E_F), states/eV per cell: 1.93
Energy relative to the elements, uncorrected, eV/atom: 1.066

abc: 5.0038 5.0038 5.0038
angles: 60.00 60.00 60.00
Element x y z (fractional)
B (0.0000, 0.0000, 0.0000)
Sb (0.2500, 0.2500, 0.2500)
Sb (0.7500, 0.7500, 0.7500)
Hg (0.5000, 0.5000, 0.5000)